No. 1
A plane-wave DFT calculation with PBE-GGA was carried out for DyY8Mg2 after structural relaxation.

excess energy over the best structure of this formula in the dataset	0.0	meV per atom

Lattice parameters (Å, degrees): 8.7140 8.7140 8.4367 114.18 114.18 35.83
Last column: nearest neighbours and their distance in Å.
Atoms (fractional coordinates):
Dy  0.0000  0.0000  0.0000  8 Y 3.31-3.59
Y  0.1017  0.1017  0.4720  3 Mg 3.30-3.31, 1 Dy 3.59, 4 Y 3.60-3.68
Y  0.1884  0.1884  0.9535  1 Mg 3.18, 5 Y 3.26-3.51, 1 Dy 3.31
Y  0.3519  0.3519  0.7943  3 Mg 3.23-3.31, 2 Y 3.51-3.58, 2 Dy 3.54
Y  0.4431  0.4431  0.2641  1 Mg 3.30, 7 Y 3.44-3.64
Y  0.5569  0.5569  0.7359  1 Mg 3.30, 7 Y 3.44-3.64
Y  0.6481  0.6481  0.2057  3 Mg 3.23-3.31, 2 Y 3.51-3.58, 2 Dy 3.54
Y  0.8116  0.8116  0.0465  1 Mg 3.18, 5 Y 3.26-3.51, 1 Dy 3.31
Y  0.8983  0.8983  0.5280  3 Mg 3.30-3.31, 1 Dy 3.59, 4 Y 3.60-3.68
Mg  0.2736  0.2736  0.3707  8 Y 3.18-3.31
Mg  0.7264  0.7264  0.6293  8 Y 3.18-3.31

=====

No. 2
A plane-wave DFT calculation with PBE-GGA was carried out for DyY5Mg after structural relaxation.

excess energy over the best structure of this formula in the dataset	0.0	meV per atom

Lattice parameters (Å, degrees): 8.8646 8.8646 10.3831 123.61 123.61 42.80
Last column: nearest neighbours and their distance in Å.
Atoms (fractional coordinates):
Dy  0.0000  0.5000  0.0000  8 Y 3.38-3.74, 2 Mg 3.72
Dy  0.5000  0.0000  0.5000  8 Y 3.38-3.74, 2 Mg 3.72
Y  0.0452  0.9548  0.2500  1 Mg 2.99, 2 Y 3.35
Y  0.0698  0.5907  0.4216  1 Mg 3.28, 5 Y 3.30-3.57
Y  0.1707  0.6455  0.8938  2 Mg 3.07-3.44, 3 Y 3.30-3.36, 1 Dy 3.38
Y  0.3545  0.8293  0.6062  2 Mg 3.07-3.44, 3 Y 3.30-3.36, 1 Dy 3.38
Y  0.4093  0.9302  0.0784  1 Mg 3.28, 5 Y 3.30-3.57
Y  0.5907  0.0698  0.9216  1 Mg 3.28, 5 Y 3.30-3.57
Y  0.6455  0.1707  0.3938  2 Mg 3.07-3.44, 3 Y 3.30-3.36, 1 Dy 3.38
Y  0.8293  0.3545  0.1062  2 Mg 3.07-3.44, 3 Y 3.30-3.36, 1 Dy 3.38
Y  0.9302  0.4093  0.5784  1 Mg 3.28, 5 Y 3.30-3.57
Y  0.9548  0.0452  0.7500  1 Mg 2.99, 2 Y 3.35
Mg  0.4921  0.5079  0.7500  5 Y 2.99-3.28
Mg  0.5079  0.4921  0.2500  5 Y 2.99-3.28

=====

No. 3
A plane-wave DFT calculation with PBE-GGA was carried out for DyY7Mg4 after structural relaxation.

Lattice parameters (Å, degrees): 8.0690 8.0690 9.7614 119.59 119.59 41.75
Last column: nearest neighbours and their distance in Å.
Atoms (fractional coordinates):
Dy  0.0000  0.0000  0.0000  2 Y 2.88
Y  0.0780  0.0780  0.4218  5 Mg 3.17-3.49, 2 Y 3.42-3.47
Y  0.2042  0.2042  0.8795  4 Mg 3.50-3.86, 7 Y 3.50-3.82, 1 Dy 3.83
Y  0.2530  0.2530  0.2935  4 Mg 3.06-3.24, 1 Dy 3.35
Y  0.5000  0.5000  0.0000  2 Dy 2.88, 2 Mg 2.98
Y  0.7470  0.7470  0.7065  4 Mg 3.06-3.24, 1 Dy 3.35
Y  0.7958  0.7958  0.1205  4 Mg 3.50-3.86, 7 Y 3.50-3.82, 1 Dy 3.83
Y  0.9220  0.9220  0.5782  5 Mg 3.17-3.49, 2 Y 3.42-3.47
Mg  0.3245  0.3245  0.6557  5 Y 2.98-3.24, 1 Mg 3.07
Mg  0.4582  0.4582  0.3007  4 Y 3.06-3.31, 2 Mg 3.07-3.40
Mg  0.5418  0.5418  0.6993  4 Y 3.06-3.31, 2 Mg 3.07-3.40
Mg  0.6755  0.6755  0.3443  5 Y 2.98-3.24, 1 Mg 3.07

=====

No. 4
A plane-wave DFT calculation with PBE-GGA was carried out for Dy7Y2Mg2 after structural relaxation.

excess energy over the best structure of this formula in the dataset	0.0	meV per atom

Lattice parameters (Å, degrees): 6.1279 6.4433 8.6824 99.03 96.16 92.98
Last column: nearest neighbours and their distance in Å.
Atoms (fractional coordinates):
Dy  0.0000  0.0000  0.0000  6 Dy 3.40-3.80, 2 Y 3.52
Dy  0.0371  0.4366  0.7983  2 Mg 3.28-3.61, 5 Dy 3.36-3.55, 1 Y 3.51
Dy  0.4429  0.3481  0.1307  1 Mg 3.25, 7 Dy 3.33-3.46, 1 Y 3.53
Dy  0.4640  0.1130  0.7566  2 Mg 3.31-3.35, 4 Dy 3.33-3.46, 2 Y 3.41-3.52
Dy  0.5360  0.8870  0.2434  2 Mg 3.31-3.35, 4 Dy 3.33-3.46, 2 Y 3.41-3.52
Dy  0.5571  0.6519  0.8693  1 Mg 3.25, 7 Dy 3.33-3.46, 1 Y 3.53
Dy  0.9629  0.5634  0.2017  2 Mg 3.28-3.61, 5 Dy 3.36-3.55, 1 Y 3.51
Y  0.1344  0.1611  0.4073  3 Mg 3.22-3.40, 1 Y 3.30, 5 Dy 3.41-3.53
Y  0.8656  0.8389  0.5927  3 Mg 3.22-3.40, 1 Y 3.30, 5 Dy 3.41-3.53
Mg  0.3275  0.6558  0.5147  1 Mg 2.99, 2 Y 3.22-3.30, 4 Dy 3.25-3.35
Mg  0.6725  0.3442  0.4853  1 Mg 2.99, 2 Y 3.22-3.30, 4 Dy 3.25-3.35

=====

No. 5
A plane-wave DFT calculation with PBE-GGA was carried out for Dy4YMg after structural relaxation.

excess energy over the best structure of this formula in the dataset	36.3	meV per atom

Lattice parameters (Å, degrees): 6.0907 6.0907 11.8334 105.10 105.10 60.06
Last column: nearest neighbours and their distance in Å.
Atoms (fractional coordinates):
Dy  0.1645  0.6715  0.9997  2 Mg 3.46-3.47, 7 Dy 3.47-3.55, 3 Y 3.50-3.54
Dy  0.2498  0.4177  0.2497  7 Dy 3.47-3.52, 2 Y 3.48-3.49, 3 Mg 3.52
Dy  0.3285  0.8355  0.5003  2 Mg 3.46-3.47, 7 Dy 3.47-3.55, 3 Y 3.50-3.54
Dy  0.4177  0.2498  0.7497  7 Dy 3.47-3.52, 2 Y 3.48-3.49, 3 Mg 3.52
Dy  0.5823  0.7502  0.2503  7 Dy 3.47-3.52, 2 Y 3.48-3.49, 3 Mg 3.52
Dy  0.6715  0.1645  0.4997  2 Mg 3.46-3.47, 7 Dy 3.47-3.55, 3 Y 3.50-3.54
Dy  0.7502  0.5823  0.7503  7 Dy 3.47-3.52, 2 Y 3.48-3.49, 3 Mg 3.52
Dy  0.8355  0.3285  0.0003  2 Mg 3.46-3.47, 7 Dy 3.47-3.55, 3 Y 3.50-3.54
Y  0.0000  0.5000  0.5000  2 Mg 3.47, 10 Dy 3.48-3.54
Y  0.5000  0.0000  0.0000  2 Mg 3.47, 10 Dy 3.48-3.54
Mg  0.0838  0.9162  0.7500  10 Dy 3.46-3.52, 2 Y 3.47
Mg  0.9162  0.0838  0.2500  10 Dy 3.46-3.52, 2 Y 3.47

=====

No. 6
A plane-wave DFT calculation with PBE-GGA was carried out for DyY8Mg2 after structural relaxation.

excess energy over the best structure of this formula in the dataset	128.3	meV per atom

Lattice parameters (Å, degrees): 8.8837 8.8837 5.6644 102.00 102.00 120.57
Last column: nearest neighbours and their distance in Å.
Atoms (fractional coordinates):
Dy  0.0000  0.0000  0.0000  4 Y 3.24-3.30
Y  0.0961  0.3203  0.6257  2 Mg 3.20-3.43, 3 Y 3.33-3.46
Y  0.2139  0.7861  0.0000  2 Mg 3.17, 1 Dy 3.30
Y  0.3203  0.0961  0.6257  2 Mg 3.20-3.43, 3 Y 3.33-3.46
Y  0.4029  0.4029  0.2027  2 Y 3.07-3.39, 1 Dy 3.24, 2 Mg 3.36
Y  0.5971  0.5971  0.7973  2 Y 3.07-3.39, 1 Dy 3.24, 2 Mg 3.36
Y  0.6797  0.9039  0.3743  2 Mg 3.20-3.43, 3 Y 3.33-3.46
Y  0.7861  0.2139  0.0000  2 Mg 3.17, 1 Dy 3.30
Y  0.9039  0.6797  0.3743  2 Mg 3.20-3.43, 3 Y 3.33-3.46
Mg  0.3065  0.6935  0.5000  8 Y 3.17-3.43
Mg  0.6935  0.3065  0.5000  8 Y 3.17-3.43

=====

No. 7
A plane-wave DFT calculation with PBE-GGA was carried out for Dy4Y5Mg2 after structural relaxation.

Lattice parameters (Å, degrees): 8.9557 21.1366 3.5638 90.00 90.00 90.00
Last column: nearest neighbours and their distance in Å.
Atoms (fractional coordinates):
Dy  0.0709  0.1479  0.0000  3 Dy 3.52-3.56, 2 Mg 3.56-3.60, 8 Y 3.64-3.74
Dy  0.2167  0.4243  0.0000  1 Mg 3.33, 8 Y 3.49-3.57, 3 Dy 3.52-3.56
Dy  0.2833  0.9243  0.0000  1 Mg 3.33, 8 Y 3.49-3.57, 3 Dy 3.52-3.56
Dy  0.4291  0.6479  0.0000  3 Dy 3.52-3.56, 2 Mg 3.56-3.60, 8 Y 3.64-3.74
Dy  0.5709  0.3521  0.0000  3 Dy 3.52-3.56, 2 Mg 3.56-3.60, 8 Y 3.64-3.74
Dy  0.7167  0.0757  0.0000  1 Mg 3.33, 8 Y 3.49-3.57, 3 Dy 3.52-3.56
Dy  0.7833  0.5757  0.0000  1 Mg 3.33, 8 Y 3.49-3.57, 3 Dy 3.52-3.56
Dy  0.9291  0.8521  0.0000  3 Dy 3.52-3.56, 2 Mg 3.56-3.60, 8 Y 3.64-3.74
Y  0.0000  0.0000  0.5000  8 Dy 3.49-3.65, 4 Y 3.56-3.60
Y  0.1280  0.5646  0.5000  2 Mg 3.29, 6 Dy 3.55-3.68, 4 Y 3.56-3.60
Y  0.2433  0.7820  0.5000  4 Mg 3.21-3.25, 2 Dy 3.51, 2 Y 3.56
Y  0.2567  0.2820  0.5000  4 Mg 3.21-3.25, 2 Dy 3.51, 2 Y 3.56
Y  0.3720  0.0646  0.5000  2 Mg 3.29, 6 Dy 3.55-3.68, 4 Y 3.56-3.60
Y  0.5000  0.5000  0.5000  8 Dy 3.49-3.65, 4 Y 3.56-3.60
Y  0.6280  0.9354  0.5000  2 Mg 3.29, 6 Dy 3.55-3.68, 4 Y 3.56-3.60
Y  0.7433  0.7180  0.5000  4 Mg 3.21-3.25, 2 Dy 3.51, 2 Y 3.56
Y  0.7567  0.2180  0.5000  4 Mg 3.21-3.25, 2 Dy 3.51, 2 Y 3.56
Y  0.8720  0.4354  0.5000  2 Mg 3.29, 6 Dy 3.55-3.68, 4 Y 3.56-3.60
Mg  0.0394  0.6901  0.0000  6 Y 3.21-3.29, 2 Dy 3.33-3.56, 2 Mg 3.56
Mg  0.4606  0.1901  0.0000  6 Y 3.21-3.29, 2 Dy 3.33-3.56, 2 Mg 3.56
Mg  0.5394  0.8099  0.0000  6 Y 3.21-3.29, 2 Dy 3.33-3.56, 2 Mg 3.56
Mg  0.9606  0.3099  0.0000  6 Y 3.21-3.29, 2 Dy 3.33-3.56, 2 Mg 3.56

=====

No. 8
A plane-wave DFT calculation with PBE-GGA was carried out for Dy8Y6Mg after structural relaxation.

excess energy over the best structure of this formula in the dataset	0.0	meV per atom

Lattice parameters (Å, degrees): 8.5525 8.5525 8.5525 63.55 63.55 63.55
Last column: nearest neighbours and their distance in Å.
Atoms (fractional coordinates):
Dy  0.0757  0.0757  0.0757  4 Dy 3.08-3.41, 3 Y 3.34
Dy  0.2166  0.2448  0.6080  5 Dy 3.38-3.41, 3 Y 3.38-3.73, 1 Mg 3.52
Dy  0.2448  0.6080  0.2166  5 Dy 3.38-3.41, 3 Y 3.38-3.73, 1 Mg 3.52
Dy  0.3920  0.7834  0.7552  5 Dy 3.38-3.41, 3 Y 3.38-3.73, 1 Mg 3.52
Dy  0.6080  0.2166  0.2448  5 Dy 3.38-3.41, 3 Y 3.38-3.73, 1 Mg 3.52
Dy  0.7552  0.3920  0.7834  5 Dy 3.38-3.41, 3 Y 3.38-3.73, 1 Mg 3.52
Dy  0.7834  0.7552  0.3920  5 Dy 3.38-3.41, 3 Y 3.38-3.73, 1 Mg 3.52
Dy  0.9243  0.9243  0.9243  4 Dy 3.08-3.41, 3 Y 3.34
Y  0.0473  0.7301  0.6070  4 Dy 3.34-3.73, 1 Mg 3.37, 4 Y 3.54-3.64
Y  0.2699  0.3930  0.9527  4 Dy 3.34-3.73, 1 Mg 3.37, 4 Y 3.54-3.64
Y  0.3930  0.9527  0.2699  4 Dy 3.34-3.73, 1 Mg 3.37, 4 Y 3.54-3.64
Y  0.6070  0.0473  0.7301  4 Dy 3.34-3.73, 1 Mg 3.37, 4 Y 3.54-3.64
Y  0.7301  0.6070  0.0473  4 Dy 3.34-3.73, 1 Mg 3.37, 4 Y 3.54-3.64
Y  0.9527  0.2699  0.3930  4 Dy 3.34-3.73, 1 Mg 3.37, 4 Y 3.54-3.64
Mg  0.5000  0.5000  0.5000  6 Y 3.37, 6 Dy 3.52

=====

No. 9
A plane-wave DFT calculation with PBE-GGA was carried out for Dy6Y3Mg after structural relaxation.

excess energy over the best structure of this formula in the dataset	105.3	meV per atom

Lattice parameters (Å, degrees): 8.7330 8.7330 9.0506 90.00 90.00 114.89
Last column: nearest neighbours and their distance in Å.
Atoms (fractional coordinates):
Dy  0.0644  0.9356  0.5000  1 Mg 3.27, 7 Dy 3.28-3.64
Dy  0.1436  0.2842  0.3158  3 Y 3.27-3.50, 4 Dy 3.28-3.50, 1 Mg 3.32
Dy  0.1725  0.4760  0.9834  3 Y 3.29-3.51, 1 Mg 3.30, 3 Dy 3.30-3.40
Dy  0.2842  0.1436  0.8158  3 Y 3.27-3.50, 4 Dy 3.28-3.50, 1 Mg 3.32
Dy  0.2981  0.7019  0.3691  1 Mg 3.30, 3 Dy 3.35-3.64, 3 Y 3.42-3.51
Dy  0.4760  0.1725  0.4834  3 Y 3.29-3.51, 1 Mg 3.30, 3 Dy 3.30-3.40
Dy  0.5240  0.8275  0.9834  3 Y 3.29-3.51, 1 Mg 3.30, 3 Dy 3.30-3.40
Dy  0.7019  0.2981  0.8691  1 Mg 3.30, 3 Dy 3.35-3.64, 3 Y 3.42-3.51
Dy  0.7158  0.8564  0.3158  3 Y 3.27-3.50, 4 Dy 3.28-3.50, 1 Mg 3.32
Dy  0.8275  0.5240  0.4834  3 Y 3.29-3.51, 1 Mg 3.30, 3 Dy 3.30-3.40
Dy  0.8564  0.7158  0.8158  3 Y 3.27-3.50, 4 Dy 3.28-3.50, 1 Mg 3.32
Dy  0.9356  0.0644  0.0000  1 Mg 3.27, 7 Dy 3.28-3.64
Y  0.0320  0.3212  0.6535  5 Dy 3.27-3.50, 2 Y 3.32-3.45, 1 Mg 3.53
Y  0.3212  0.0320  0.1535  5 Dy 3.27-3.50, 2 Y 3.32-3.45, 1 Mg 3.53
Y  0.4657  0.5343  0.6446  1 Mg 3.39, 2 Y 3.45, 5 Dy 3.46-3.51
Y  0.5343  0.4657  0.1446  1 Mg 3.39, 2 Y 3.45, 5 Dy 3.46-3.51
Y  0.6788  0.9680  0.6535  5 Dy 3.27-3.50, 2 Y 3.32-3.45, 1 Mg 3.53
Y  0.9680  0.6788  0.1535  5 Dy 3.27-3.50, 2 Y 3.32-3.45, 1 Mg 3.53
Mg  0.2402  0.7598  0.7217  6 Dy 3.27-3.32, 3 Y 3.39-3.53
Mg  0.7598  0.2402  0.2217  6 Dy 3.27-3.32, 3 Y 3.39-3.53

=====

Going through the records in order, we get VASP energy values of -59.4, -75.0, -54.4, -47.5, -52.6, -58.0, -107.5, -75.8, -94.6 eV/cell.
Going through the records in order, we get formation enthalpy at 0 K values of 5, 149, 152, 75, 25, 133, 15, 92, 128 meV/atom.